A relaxed CaSiI2 crystal, computed with PBE. Values from VASP.

Crystal system: tetragonal
E_tot: -0.10292 hartree per atom
Space-group type: No. 122
E above lowest polymorph: 1 kJ/mol of formula units

Cell and atoms, written as Quantum ESPRESSO input:
```
&SYSTEM
  ibrav = 0, nat = 8, ntyp = 3
/
ATOMIC_SPECIES
Ca 40.08 Ca.upf
Si 28.09 Si.upf
I 126.90 I.upf
CELL_PARAMETERS angstrom
-2.743 2.743 9.716
2.743 -2.743 9.716
2.743 2.743 -9.716
ATOMIC_POSITIONS angstrom
Ca 0.000 0.000 0.000
Ca 0.000 2.743 4.858
Si 2.743 0.000 4.858
Si 0.000 0.000 9.716
I 1.371 -1.285 7.287
I 1.458 1.371 2.429
I 1.371 4.028 -2.429
I 1.285 1.371 12.145
```

---

A relaxed SrLi2Ru crystal, computed with PBE. Values from VASP.

Energy of formation from the pure elements: 288 kJ/mol of formula units
Crystal system: trigonal
E_tot: -0.10846 hartree per atom
Space-group type: No. 166
E above lowest polymorph: 146 kJ/mol of formula units

Cell and atoms, written as Quantum ESPRESSO input:
```
&SYSTEM
  ibrav = 0, nat = 4, ntyp = 3
/
ATOMIC_SPECIES
Sr 87.62 Sr.upf
Li 6.94 Li.upf
Ru 101.07 Ru.upf
CELL_PARAMETERS angstrom
1.567 0.905 10.171
-1.567 0.905 10.171
0.000 -1.809 10.171
ATOMIC_POSITIONS angstrom
Sr 0.000 0.000 0.000
Li 0.000 0.000 7.050
Li 0.000 0.000 23.464
Ru 0.000 0.000 15.257
```

---

A relaxed Fe2TeC crystal, computed with PBE. Values from VASP.

Crystal system: cubic
E_tot: -0.22241 hartree per atom
Space-group type: No. 225
E above lowest polymorph: 320 kJ/mol of formula units

Cell and atoms, written as Quantum ESPRESSO input:
```
&SYSTEM
  ibrav = 0, nat = 4, ntyp = 3
/
ATOMIC_SPECIES
Fe 55.84 Fe.upf
Te 127.60 Te.upf
C 12.01 C.upf
CELL_PARAMETERS angstrom
0.000 2.958 2.958
2.958 0.000 2.958
2.958 2.958 0.000
ATOMIC_POSITIONS angstrom
Fe 1.479 1.479 1.479
Fe 4.437 4.437 4.437
Te 0.000 0.000 0.000
C 2.958 2.958 2.958
```

---

A relaxed LiPbW2 crystal, computed with PBE. Values from VASP.

Energy of formation from the pure elements: 193 kJ/mol of formula units
Crystal system: orthorhombic
E_tot: -0.27130 hartree per atom
Space-group type: No. 35

Cell and atoms, written as Quantum ESPRESSO input:
```
&SYSTEM
  ibrav = 0, nat = 4, ntyp = 3
/
ATOMIC_SPECIES
Li 6.94 Li.upf
Pb 207.20 Pb.upf
W 183.84 W.upf
CELL_PARAMETERS angstrom
1.643 -2.469 0.000
1.643 2.469 0.000
0.000 0.000 9.429
ATOMIC_POSITIONS angstrom
Li 0.000 0.000 0.000
Pb 1.643 0.000 6.858
W 0.000 0.000 4.267
W 1.643 0.000 2.297
```

---

A relaxed NbFe2CuBi crystal, computed with PBE. Values from VASP.

Energy of formation from the pure elements: 438 kJ/mol of formula units
Crystal system: tetragonal
E_tot: -0.22369 hartree per atom
Space-group type: No. 123

Cell and atoms, written as Quantum ESPRESSO input:
```
&SYSTEM
  ibrav = 0, nat = 5, ntyp = 4
/
ATOMIC_SPECIES
Nb 92.91 Nb.upf
Fe 55.84 Fe.upf
Cu 63.55 Cu.upf
Bi 208.98 Bi.upf
CELL_PARAMETERS angstrom
4.454 0.000 0.000
0.000 4.454 0.000
0.000 0.000 4.777
ATOMIC_POSITIONS angstrom
Nb 0.000 0.000 0.000
Fe 0.000 2.227 2.388
Fe 2.227 0.000 2.388
Cu 0.000 0.000 2.388
Bi 2.227 2.227 0.000
```

---

A relaxed Li2InPb crystal, computed with PBE. Values from VASP.

Energy of formation from the pure elements: -88 kJ/mol of formula units
Crystal system: monoclinic
E_tot: -0.10276 hartree per atom
Space-group type: No. 8
E above lowest polymorph: 19 kJ/mol of formula units

Cell and atoms, written as Quantum ESPRESSO input:
```
&SYSTEM
  ibrav = 0, nat = 4, ntyp = 3
/
ATOMIC_SPECIES
Li 6.94 Li.upf
In 114.82 In.upf
Pb 207.20 Pb.upf
CELL_PARAMETERS angstrom
5.314 -1.741 0.000
5.314 1.741 0.000
-1.254 0.000 4.756
ATOMIC_POSITIONS angstrom
Li 0.000 0.000 0.000
Li 7.554 0.000 1.490
In 4.600 0.000 2.279
Pb 1.683 0.000 3.904
```